Material: Tl2NiTeS4
Method: DFT, PBE
State: relaxed

- Total energy: -3.768 eV per atom
- Formation energy (no corrections): 0.003 eV/atom
- V: 1617.0 Å³/cell

The structure in CIF format:
```
data_Tl2NiTeS4
_chemical_formula_sum 'Tl16 Ni8 Te8 S32'
_cell_length_a 5.107
_cell_length_b 14.949
_cell_length_c 21.180
_cell_angle_alpha 90.00
_cell_angle_beta 90.00
_cell_angle_gamma 90.00
_symmetry_space_group_name_H-M 'F d d d'
_symmetry_Int_Tables_number 70
loop_
_symmetry_equiv_pos_as_xyz
'x,y,z'
'-x,-y,-z'
'-x+1/4,-y+1/4,z'
'x+1/4,y+1/4,-z'
'x,-y+1/4,-z+1/4'
'-x,y+1/4,z+1/4'
'-x+1/4,y,-z+1/4'
'x+1/4,-y,z+1/4'
'x,y+1/2,z+1/2'
'-x,-y+1/2,-z+1/2'
'-x+1/4,-y+3/4,z+1/2'
'x+1/4,y+3/4,-z+1/2'
'x,-y+3/4,-z+3/4'
'-x,y+3/4,z+3/4'
'-x+1/4,y+1/2,-z+3/4'
'x+1/4,-y+1/2,z+3/4'
'x+1/2,y,z+1/2'
'-x+1/2,-y,-z+1/2'
'-x+3/4,-y+1/4,z+1/2'
'x+3/4,y+1/4,-z+1/2'
'x+1/2,-y+1/4,-z+3/4'
'-x+1/2,y+1/4,z+3/4'
'-x+3/4,y,-z+3/4'
'x+3/4,-y,z+3/4'
'x+1/2,y+1/2,z'
'-x+1/2,-y+1/2,-z'
'-x+3/4,-y+3/4,z'
'x+3/4,y+3/4,-z'
'x+1/2,-y+3/4,-z+1/4'
'-x+1/2,y+3/4,z+1/4'
'-x+3/4,y+1/2,-z+1/4'
'x+3/4,-y+1/2,z+1/4'
loop_
_atom_site_label
_atom_site_fract_x
_atom_site_fract_y
_atom_site_fract_z
Tl1 0.125 0.125 0.312
Ni1 0.125 0.125 0.625
Te1 0.125 0.125 0.125
S1 0.096 0.274 0.802
```